# K4Hg5Au2

A relaxed structure of K4Hg5Au2 (PBE-GGA, Alexandria).

Calculated values
- total magnetization (μB per atom) = 0.000
- calculated density (Mg/m³) = 6.86
- ΔE_f (kJ per mole of atoms) = -27
- energy (eV per atom) = -1.41

Unit cell a=4.764 b=8.194 c=9.629 alpha=91.40 beta=90.00 gamma=90.00
Positions (direct):
Au1 0.000 0.081 0.631
Au2 0.000 0.919 0.369
Hg1 0.000 0.500 0.000
Hg2 0.000 0.563 0.345
Hg3 0.000 0.437 0.655
Hg4 0.000 0.126 0.126
Hg5 0.000 0.874 0.874
K1 0.500 0.230 0.403
K2 0.500 0.218 0.859
K3 0.500 0.770 0.597
K4 0.500 0.782 0.141